{"formula": "RbCuAsAu", "functional": "PBE-GGA", "state": "optimized geometry", "e_above_lowest_polymorph_mev_per_atom": 15, "mass_density_g_cm3": 8.019, "cell": [[0.0000, 3.5191, 3.5191], [3.5191, 0.0000, 3.5191], [3.5191, 3.5191, 0.0000]], "species": ["Rb", "As", "Cu", "Au"], "frac_coords": [[0.2500, 0.2500, 0.2500], [0.5000, 0.5000, 0.5000], [0.0000, 0.0000, 0.0000], [0.7500, 0.7500, 0.7500]]}

***

{"formula": "CuReAsAu", "functional": "PBE-GGA", "state": "optimized geometry", "e_above_lowest_polymorph_mev_per_atom": 0, "m_tot_mub_per_fu": 0.0, "mass_density_g_cm3": 14.132, "cell": [[0.0000, 3.1294, 3.1294], [3.1294, 0.0000, 3.1294], [3.1294, 3.1294, 0.0000]], "species": ["As", "Cu", "Au", "Re"], "frac_coords": [[0.0000, 0.0000, 0.0000], [0.7500, 0.7500, 0.7500], [0.5000, 0.5000, 0.5000], [0.2500, 0.2500, 0.2500]]}

***

What is the formula in the second record? CuReAsAu

***

Copy entry 2 word for word.
{"formula": "CuReAsAu", "functional": "PBE-GGA", "state": "optimized geometry", "e_above_lowest_polymorph_mev_per_atom": 0, "m_tot_mub_per_fu": 0.0, "mass_density_g_cm3": 14.132, "cell": [[0.0000, 3.1294, 3.1294], [3.1294, 0.0000, 3.1294], [3.1294, 3.1294, 0.0000]], "species": ["As", "Cu", "Au", "Re"], "frac_coords": [[0.0000, 0.0000, 0.0000], [0.7500, 0.7500, 0.7500], [0.5000, 0.5000, 0.5000], [0.2500, 0.2500, 0.2500]]}